1.
Below is a relaxed ZrScSN2 crystal, with properties calculated at the PBE-GGA level.

Computed properties:
Distance to the lowest polymorph of the same formula in meV/atom: 317
ΔE_f (raw) in eV/atom: -0.09
Space group: P4/mmm, No. 123
Total magnetic moment in μB/f.u.: 0.093
Total DFT energy (no corrections) in eV for the cell shown: -36.093

Cell: 4.0108 4.0108 4.8552 Å, 90.00 90.00 90.00°
Last column: nearest neighbours and their distance in Å.
Fractional coordinates of all 5 atoms:
Zr1 0.0000 0.0000 0.0000  4 S 2.84, 8 N 3.15
Sc1 0.5000 0.5000 0.5000  4 N 2.01
S1 0.5000 0.5000 0.0000  2 Sc 2.43
N1 0.0000 0.5000 0.5000  2 Sc 2.01
N2 0.5000 0.0000 0.5000  2 Sc 2.01

***

2.
Below is a relaxed SeS2N crystal, with properties calculated at the PBE-GGA level.

Computed properties:
Distance to the lowest polymorph of the same formula in meV/atom: 596
ΔE_f (raw) in eV/atom: 1.22
Space group: I-42d, No. 122
Total magnetic moment in μB/f.u.: 0.000
Total DFT energy (no corrections) in eV for the cell shown: -30.390

Cell: 6.6252 6.6252 6.6252 Å, 135.18 135.18 65.25°
Last column: nearest neighbours and their distance in Å.
Fractional coordinates of all 8 atoms:
Se1 0.0000 0.0000 0.0000  4 S 2.84
Se2 0.7500 0.2500 0.5000  4 S 2.84
S1 0.2950 0.6250 0.1700  2 N 1.92
S2 0.3750 0.5450 0.6700  2 N 1.92
S3 0.4550 0.1250 0.8300  2 N 1.92
S4 0.8750 0.7050 0.3300  2 N 1.92
N1 0.2500 0.7500 0.5000  4 S 1.92
N2 0.5000 0.5000 0.0000  4 S 1.92

***

3.
Below is a relaxed SeSN crystal, with properties calculated at the PBE-GGA level.

Computed properties:
Distance to the lowest polymorph of the same formula in meV/atom: 0
ΔE_f (raw) in eV/atom: 0.53
Space group: P1, No. 1
Total magnetic moment in μB/f.u.: 0.000
Total DFT energy (no corrections) in eV for the cell shown: -28.676

Cell: 4.6002 5.3312 7.0403 Å, 95.10 99.74 110.42°
Last column: nearest neighbours and their distance in Å.
Fractional coordinates of all 6 atoms:
Se1 0.0000 0.0000 0.0000  1 N 1.89
Se2 0.3318 0.6012 0.3636  1 N 1.83
S1 0.1459 0.2342 0.6633  2 N 1.56-1.59
S2 0.4456 0.2780 0.2045  2 Se 2.23
N1 0.1721 0.4988 0.5774  1 S 1.56
N2 0.9244 0.2192 0.8165  1 S 1.59

***

4.
Below is a relaxed Se3SN crystal, with properties calculated at the PBE-GGA level.

Computed properties:
Distance to the lowest polymorph of the same formula in meV/atom: 0
ΔE_f (raw) in eV/atom: 1.22
Space group: Pm-3m, No. 221
Total magnetic moment in μB/f.u.: 0.000
Total DFT energy (no corrections) in eV for the cell shown: -16.789

Cell: 4.4206 4.4206 4.4206 Å, 90.00 90.00 90.00°
Last column: nearest neighbours and their distance in Å.
Fractional coordinates of all 5 atoms:
Se1 0.0000 0.0000 0.5000  2 N 2.21
Se2 0.0000 0.5000 0.0000  2 N 2.21
Se3 0.5000 0.0000 0.0000  2 N 2.21
S1 0.5000 0.5000 0.5000  12 Se 3.13
N1 0.0000 0.0000 0.0000  6 Se 2.21

***

5.
Below is a relaxed SeS2N crystal, with properties calculated at the PBE-GGA level.

Computed properties:
Distance to the lowest polymorph of the same formula in meV/atom: 1166
ΔE_f (raw) in eV/atom: 1.79
Space group: Fm-3m, No. 225
Total magnetic moment in μB/f.u.: 1.236
Total DFT energy (no corrections) in eV for the cell shown: -12.914

Cell: 4.3515 4.3515 4.3515 Å, 60.00 60.00 60.00°
Last column: nearest neighbours and their distance in Å.
Fractional coordinates of all 4 atoms:
Se1 0.0000 0.0000 0.0000  8 S 2.66
S1 0.2500 0.2500 0.2500  4 Se 2.66, 4 N 2.66
S2 0.7500 0.7500 0.7500  4 Se 2.66, 4 N 2.66
N1 0.5000 0.5000 0.5000  8 S 2.66

***

6.
Below is a relaxed Se3SN crystal, with properties calculated at the PBE-GGA level.

Computed properties:
Distance to the lowest polymorph of the same formula in meV/atom: 416
ΔE_f (raw) in eV/atom: 1.64
Space group: Pm-3m, No. 221
Total magnetic moment in μB/f.u.: 2.203
Total DFT energy (no corrections) in eV for the cell shown: -14.710

Cell: 4.8957 4.8957 4.8957 Å, 90.00 90.00 90.00°
Last column: nearest neighbours and their distance in Å.
Fractional coordinates of all 5 atoms:
Se1 0.0000 0.0000 0.5000  2 S 2.45
Se2 0.0000 0.5000 0.0000  2 S 2.45
Se3 0.5000 0.0000 0.0000  2 S 2.45
S1 0.0000 0.0000 0.0000  6 Se 2.45
N1 0.5000 0.5000 0.5000  12 Se 3.46

***

7.
Below is a relaxed SeS2N crystal, with properties calculated at the PBE-GGA level.

Computed properties:
Distance to the lowest polymorph of the same formula in meV/atom: 0
ΔE_f (raw) in eV/atom: 0.62
Space group: R-3m, No. 166
Total magnetic moment in μB/f.u.: 0.000
Total DFT energy (no corrections) in eV for the cell shown: -17.579

Cell: 6.9900 6.9900 6.9900 Å, 33.34 33.34 33.34°
Last column: nearest neighbours and their distance in Å.
Fractional coordinates of all 4 atoms:
Se1 0.0000 0.0000 0.0000  6 S 2.90
S1 0.4218 0.4218 0.4218  1 N 1.55
S2 0.5782 0.5782 0.5782  1 N 1.55
N1 0.5000 0.5000 0.5000  2 S 1.55

***

8.
Below is a relaxed SeS2N2 crystal, with properties calculated at the PBE-GGA level.

Computed properties:
Distance to the lowest polymorph of the same formula in meV/atom: 531
ΔE_f (raw) in eV/atom: 1.94
Space group: P4/mmm, No. 123
Total magnetic moment in μB/f.u.: 0.000
Total DFT energy (no corrections) in eV for the cell shown: -18.674

Cell: 4.0900 4.0900 3.8206 Å, 90.00 90.00 90.00°
Last column: nearest neighbours and their distance in Å.
Fractional coordinates of all 5 atoms:
Se1 0.0000 0.0000 0.0000  8 S 2.80, 4 N 2.89
S1 0.0000 0.5000 0.5000  2 N 2.05
S2 0.5000 0.0000 0.5000  2 N 2.05
N1 0.5000 0.5000 0.0000  2 N 1.91
N2 0.5000 0.5000 0.5000  2 N 1.91, 4 S 2.05

***

9.
Below is a relaxed SeS2N2 crystal, with properties calculated at the PBE-GGA level.

Computed properties:
Distance to the lowest polymorph of the same formula in meV/atom: 1016
ΔE_f (raw) in eV/atom: 2.43
Space group: P4/mmm, No. 123
Total magnetic moment in μB/f.u.: 0.000
Total DFT energy (no corrections) in eV for the cell shown: -16.246

Cell: 4.7880 4.7880 3.6107 Å, 90.00 90.00 90.00°
Last column: nearest neighbours and their distance in Å.
Fractional coordinates of all 5 atoms:
Se1 0.0000 0.0000 0.0000  2 N 1.81
S1 0.0000 0.5000 0.0000  2 Se 2.39
S2 0.5000 0.0000 0.0000  2 Se 2.39
N1 0.0000 0.0000 0.5000  2 Se 1.81
N2 0.5000 0.5000 0.5000  8 S 3.00

***

10.
Below is a relaxed SeSN crystal, with properties calculated at the PBE-GGA level.

Computed properties:
Distance to the lowest polymorph of the same formula in meV/atom: 79
ΔE_f (raw) in eV/atom: 0.61
Space group: P-1, No. 2
Total magnetic moment in μB/f.u.: 0.000
Total DFT energy (no corrections) in eV for the cell shown: -28.200

Cell: 4.1487 6.1850 6.4417 Å, 96.46 108.27 102.06°
Last column: nearest neighbours and their distance in Å.
Fractional coordinates of all 6 atoms:
Se1 0.0346 0.2357 0.3243  1 N 1.83
Se2 0.9654 0.7643 0.6757  1 N 1.83
S1 0.1312 0.8919 0.2688  1 N 1.61
S2 0.8688 0.1081 0.7312  1 N 1.61
N1 0.0346 0.2921 0.6087  1 S 1.61
N2 0.9654 0.7079 0.3913  1 S 1.61

***

11.
Below is a relaxed SeS2N2 crystal, with properties calculated at the PBE-GGA level.

Computed properties:
Distance to the lowest polymorph of the same formula in meV/atom: 258
ΔE_f (raw) in eV/atom: 1.67
Space group: P4/mmm, No. 123
Total magnetic moment in μB/f.u.: 0.000
Total DFT energy (no corrections) in eV for the cell shown: -20.038

Cell: 3.5949 3.5949 6.9940 Å, 90.00 90.00 90.00°
Last column: nearest neighbours and their distance in Å.
Fractional coordinates of all 5 atoms:
Se1 0.0000 0.0000 0.0000  4 N 1.80
S1 0.0000 0.0000 0.5000  4 S 2.54
S2 0.5000 0.5000 0.5000  4 S 2.54
N1 0.0000 0.5000 0.0000  2 Se 1.80
N2 0.5000 0.0000 0.0000  2 Se 1.80

***

12.
Below is a relaxed SeS2N2 crystal, with properties calculated at the PBE-GGA level.

Computed properties:
Distance to the lowest polymorph of the same formula in meV/atom: 0
ΔE_f (raw) in eV/atom: 1.41
Space group: P4/mmm, No. 123
Total magnetic moment in μB/f.u.: 0.101
Total DFT energy (no corrections) in eV for the cell shown: -21.327

Cell: 3.4371 3.4371 7.2873 Å, 90.00 90.00 90.00°
Last column: nearest neighbours and their distance in Å.
Fractional coordinates of all 5 atoms:
Se1 0.0000 0.0000 0.0000  4 S 2.43
S1 0.5000 0.5000 0.0000  4 Se 2.43
S2 0.5000 0.5000 0.5000  4 N 1.72
N1 0.0000 0.5000 0.5000  2 S 1.72
N2 0.5000 0.0000 0.5000  2 S 1.72

***

13.
Below is a relaxed SiSeSN2 crystal, with properties calculated at the PBE-GGA level.

Computed properties:
Distance to the lowest polymorph of the same formula in meV/atom: 994
ΔE_f (raw) in eV/atom: 1.58
Space group: P4/mmm, No. 123
Total magnetic moment in μB/f.u.: 0.088
Total DFT energy (no corrections) in eV for the cell shown: -21.761

Cell: 3.7459 3.7459 5.1485 Å, 90.00 90.00 90.00°
Last column: nearest neighbours and their distance in Å.
Fractional coordinates of all 5 atoms:
Si1 0.0000 0.0000 0.0000  4 S 2.65
Se1 0.5000 0.5000 0.5000  4 N 1.87
S1 0.5000 0.5000 0.0000  2 Se 2.57, 4 Si 2.65
N1 0.0000 0.5000 0.5000  2 Se 1.87
N2 0.5000 0.0000 0.5000  2 Se 1.87

***

14.
Below is a relaxed SiSe2SN crystal, with properties calculated at the PBE-GGA level.

Computed properties:
Distance to the lowest polymorph of the same formula in meV/atom: 463
ΔE_f (raw) in eV/atom: 1.02
Space group: P4/mmm, No. 123
Total magnetic moment in μB/f.u.: 0.000
Total DFT energy (no corrections) in eV for the cell shown: -19.757

Cell: 5.1075 5.1075 3.3769 Å, 90.00 90.00 90.00°
Last column: nearest neighbours and their distance in Å.
Fractional coordinates of all 5 atoms:
Si1 0.0000 0.0000 0.0000  8 Se 3.06, 2 Si 3.38
Se1 0.0000 0.5000 0.5000  2 S 2.55
Se2 0.5000 0.0000 0.5000  2 S 2.55
S1 0.5000 0.5000 0.5000  2 N 1.69
N1 0.5000 0.5000 0.0000  2 S 1.69